This record from Alexandria describes a geometry-optimized RbEr2AgF8 structure. The functional is PBE-GGA.

Unit cell a=3.8615 b=6.4332 c=7.5994 alpha=85.94 beta=90.00 gamma=89.94
Last column: nearest neighbours and their distance in Å.
Positions (direct):
Rb 0.0000 0.0000 0.0000  8 F 2.76-2.80
Er 0.5004 0.4792 0.2540  8 F 2.23-2.38
Er 0.4996 0.5208 0.7460  8 F 2.23-2.38
Ag 0.0000 0.0000 0.5000  2 F 2.33
F 0.0004 0.2622 0.2731  1 Ag 2.33, 2 Er 2.38, 1 F 2.50
F 0.9999 0.3476 0.7574  2 Er 2.23
F 0.0001 0.6524 0.2426  2 Er 2.23
F 0.9996 0.7378 0.7269  1 Ag 2.33, 2 Er 2.38, 1 F 2.50
F 0.5001 0.2997 0.5187  2 Er 2.25-2.31
F 0.4999 0.3066 0.0082  2 Er 2.24-2.34, 1 F 2.48
F 0.5001 0.6934 0.9918  2 Er 2.24-2.34, 1 F 2.48
F 0.4999 0.7003 0.4813  2 Er 2.25-2.31

Results
Final energy (eV/atom): -5.701
Raw formation energy (meV per atom): -3375
Total magnetic moment (μB per atom): 0.00